# PBE-GGA Dy8AlHg2, relaxed
# - Final energy: -3.908 eV/atom
# - N(E_F): 0.953 states/eV per atom
data_Dy8AlHg2
_chemical_formula_sum 'Dy8 Al1 Hg2'
_space_group_name_H-M_alt 'P 1'
_space_group_IT_number 1
_cell_length_a 5.020
_cell_length_b 8.370
_cell_length_c 8.804
_cell_angle_alpha 118.38
_cell_angle_beta 106.57
_cell_angle_gamma 90.00
loop_
_space_group_symop_operation_xyz
'x,y,z'
loop_
_atom_site_label
_atom_site_fract_x
_atom_site_fract_y
_atom_site_fract_z
_atom_site_occupancy
Dy1 0.659 0.882 0.318 1
Dy2 0.341 0.564 0.682 1
Dy3 0.133 0.133 0.267 1
Dy4 0.000 0.312 0.000 1
Dy5 0.867 0.867 0.733 1
Dy6 0.659 0.436 0.318 1
Dy7 0.341 0.118 0.682 1
Dy8 0.000 0.688 0.000 1
Al1 0.500 0.000 0.000 1
Hg1 0.198 0.698 0.397 1
Hg2 0.802 0.302 0.603 1

=====

# PBE-GGA Dy2AlHg8, relaxed
# - Final energy: -1.633 eV/atom
# - N(E_F): 0.432 states/eV per atom
data_Dy2AlHg8
_chemical_formula_sum 'Dy2 Al1 Hg8'
_space_group_name_H-M_alt 'P 1'
_space_group_IT_number 1
_cell_length_a 4.599
_cell_length_b 4.599
_cell_length_c 12.508
_cell_angle_alpha 90.00
_cell_angle_beta 90.00
_cell_angle_gamma 90.00
loop_
_space_group_symop_operation_xyz
'x,y,z'
loop_
_atom_site_label
_atom_site_fract_x
_atom_site_fract_y
_atom_site_fract_z
_atom_site_occupancy
Dy1 0.000 0.000 0.309 1
Dy2 0.000 0.000 0.691 1
Al1 0.000 0.000 0.000 1
Hg1 0.000 0.500 0.500 1
Hg2 0.500 0.000 0.500 1
Hg3 0.500 0.500 0.311 1
Hg4 0.500 0.500 0.689 1
Hg5 0.000 0.500 0.130 1
Hg6 0.500 0.000 0.130 1
Hg7 0.000 0.500 0.870 1
Hg8 0.500 0.000 0.870 1

=====

# PBE-GGA Dy5AlHg6, relaxed
# - Final energy: -2.798 eV/atom
# - N(E_F): 0.787 states/eV per atom
data_Dy5AlHg6
_chemical_formula_sum 'Dy5 Al1 Hg6'
_space_group_name_H-M_alt 'P 1'
_space_group_IT_number 1
_cell_length_a 5.168
_cell_length_b 7.471
_cell_length_c 8.077
_cell_angle_alpha 90.00
_cell_angle_beta 71.34
_cell_angle_gamma 90.00
loop_
_space_group_symop_operation_xyz
'x,y,z'
loop_
_atom_site_label
_atom_site_fract_x
_atom_site_fract_y
_atom_site_fract_z
_atom_site_occupancy
Hg1 0.837 0.765 0.327 1
Hg2 0.837 0.235 0.327 1
Hg3 0.500 0.262 0.000 1
Hg4 0.500 0.738 0.000 1
Hg5 0.163 0.765 0.673 1
Hg6 0.163 0.235 0.673 1
Al1 0.000 0.000 0.000 1
Dy1 0.676 0.500 0.648 1
Dy2 0.345 0.000 0.309 1
Dy3 0.000 0.500 0.000 1
Dy4 0.655 0.000 0.691 1
Dy5 0.324 0.500 0.352 1

=====

# PBE-GGA Dy2AlHg3, relaxed
# - Final energy: -2.716 eV/atom
# - N(E_F): 0.730 states/eV per atom
data_Dy2AlHg3
_chemical_formula_sum 'Dy4 Al2 Hg6'
_space_group_name_H-M_alt 'P 1'
_space_group_IT_number 1
_cell_length_a 5.952
_cell_length_b 5.952
_cell_length_c 9.049
_cell_angle_alpha 103.38
_cell_angle_beta 103.38
_cell_angle_gamma 107.23
loop_
_space_group_symop_operation_xyz
'x,y,z'
loop_
_atom_site_label
_atom_site_fract_x
_atom_site_fract_y
_atom_site_fract_z
_atom_site_occupancy
Dy1 0.250 0.750 0.500 1
Dy2 0.756 0.756 0.000 1
Dy3 0.750 0.250 0.500 1
Dy4 0.244 0.244 0.000 1
Al1 0.667 0.667 0.335 1
Al2 0.333 0.333 0.665 1
Hg1 0.346 0.826 0.171 1
Hg2 0.174 0.654 0.829 1
Hg3 0.654 0.174 0.829 1
Hg4 0.826 0.346 0.171 1
Hg5 0.171 0.171 0.342 1
Hg6 0.829 0.829 0.658 1

=====

# PBE-GGA Dy3Al2Hg3, relaxed
# - Final energy: -3.202 eV/atom
# - N(E_F): 0.616 states/eV per atom
data_Dy3Al2Hg3
_chemical_formula_sum 'Dy6 Al4 Hg6'
_space_group_name_H-M_alt 'P 1'
_space_group_IT_number 1
_cell_length_a 4.531
_cell_length_b 5.993
_cell_length_c 15.137
_cell_angle_alpha 90.00
_cell_angle_beta 90.00
_cell_angle_gamma 112.21
loop_
_space_group_symop_operation_xyz
'x,y,z'
loop_
_atom_site_label
_atom_site_fract_x
_atom_site_fract_y
_atom_site_fract_z
_atom_site_occupancy
Dy1 0.918 0.837 0.389 1
Dy2 0.082 0.163 0.889 1
Dy3 0.918 0.837 0.111 1
Dy4 0.082 0.163 0.611 1
Dy5 0.638 0.275 0.250 1
Dy6 0.362 0.725 0.750 1
Al1 0.792 0.584 0.892 1
Al2 0.208 0.416 0.392 1
Al3 0.792 0.584 0.608 1
Al4 0.208 0.416 0.108 1
Hg1 0.623 0.247 0.463 1
Hg2 0.377 0.753 0.963 1
Hg3 0.623 0.247 0.037 1
Hg4 0.377 0.753 0.537 1
Hg5 0.360 0.719 0.250 1
Hg6 0.640 0.281 0.750 1

=====

# PBE-GGA Dy2Al3Hg, relaxed
# - Final energy: -3.919 eV/atom
# - N(E_F): 0.566 states/eV per atom
data_Dy2Al3Hg
_chemical_formula_sum 'Dy4 Al6 Hg2'
_space_group_name_H-M_alt 'P 1'
_space_group_IT_number 1
_cell_length_a 5.840
_cell_length_b 5.840
_cell_length_c 8.715
_cell_angle_alpha 104.64
_cell_angle_beta 104.64
_cell_angle_gamma 104.21
loop_
_space_group_symop_operation_xyz
'x,y,z'
loop_
_atom_site_label
_atom_site_fract_x
_atom_site_fract_y
_atom_site_fract_z
_atom_site_occupancy
Dy1 0.250 0.750 0.500 1
Dy2 0.749 0.749 0.000 1
Dy3 0.750 0.250 0.500 1
Dy4 0.251 0.251 0.000 1
Al1 0.329 0.835 0.165 1
Al2 0.165 0.671 0.835 1
Al3 0.671 0.165 0.835 1
Al4 0.835 0.329 0.165 1
Al5 0.164 0.164 0.328 1
Al6 0.836 0.836 0.672 1
Hg1 0.667 0.667 0.334 1
Hg2 0.333 0.333 0.666 1

=====

# PBE-GGA DyHoAlHg, relaxed
# - Final energy: -3.706 eV/atom
# - N(E_F): 1.089 states/eV per atom
data_DyHoAlHg
_chemical_formula_sum 'Dy1 Ho1 Al1 Hg1'
_space_group_name_H-M_alt 'P 1'
_space_group_IT_number 1
_cell_length_a 5.195
_cell_length_b 5.195
_cell_length_c 5.195
_cell_angle_alpha 60.00
_cell_angle_beta 60.00
_cell_angle_gamma 60.00
loop_
_space_group_symop_operation_xyz
'x,y,z'
loop_
_atom_site_label
_atom_site_fract_x
_atom_site_fract_y
_atom_site_fract_z
_atom_site_occupancy
Al1 0.750 0.750 0.750 1
Dy1 0.500 0.500 0.500 1
Hg1 0.250 0.250 0.250 1
Ho1 0.000 0.000 0.000 1

=====

# PBE-GGA DyHoAlHg, relaxed
# - Final energy: -3.740 eV/atom
# - N(E_F): 0.677 states/eV per atom
data_DyHoAlHg
_chemical_formula_sum 'Dy1 Ho1 Al1 Hg1'
_space_group_name_H-M_alt 'P 1'
_space_group_IT_number 1
_cell_length_a 3.601
_cell_length_b 3.601
_cell_length_c 7.543
_cell_angle_alpha 90.00
_cell_angle_beta 90.00
_cell_angle_gamma 90.00
loop_
_space_group_symop_operation_xyz
'x,y,z'
loop_
_atom_site_label
_atom_site_fract_x
_atom_site_fract_y
_atom_site_fract_z
_atom_site_occupancy
Dy1 0.000 0.000 0.847 1
Ho1 0.000 0.000 0.366 1
Al1 0.500 0.500 0.605 1
Hg1 0.500 0.500 0.109 1